An optimized crystal structure of TaPd2Pt2, computed with GGA-PBE.

a = 7.763 Å, b = 5.292 Å, c = 4.786 Å
α = 90.00°, β = 118.31°, γ = 90.00°
Space group C2/m (No. 12)
Unique sites:
Ta (0.000, 0.000, 0.000) (multiplicity 2)
Pd (0.132, 0.500, 0.894) (multiplicity 4)
Pt (0.250, 0.250, 0.500) (multiplicity 4)

Summary:
ΔH_f (0 K), meV/atom: -173
Electronic total energy, eV for the cell shown: -70.4

***

An optimized crystal structure of Ta9Pd4Pt11, computed with GGA-PBE.

a = 16.459 Å, b = 16.811 Å, c = 2.830 Å
α = 90.00°, β = 90.00°, γ = 90.00°
Space group Cmmm (No. 65)
Unique sites:
Ta (0.000, 0.000, 0.000) (multiplicity 2)
Ta (0.122, 0.417, 0.000) (multiplicity 8)
Ta (0.124, 0.242, 0.000) (multiplicity 8)
Pd (0.135, 0.083, 0.000) (multiplicity 8)
Pt (0.000, 0.156, 0.500) (multiplicity 4)
Pt (0.000, 0.327, 0.500) (multiplicity 4)
Pt (0.000, 0.500, 0.500) (multiplicity 2)
Pt (0.239, 0.500, 0.500) (multiplicity 4)
Pt (0.241, 0.330, 0.500) (multiplicity 8)

Summary:
ΔH_f (0 K), meV/atom: -559
Electronic total energy, eV for the cell shown: -414.6

***

An optimized crystal structure of TaPd3Pt3, computed with GGA-PBE.

a = 9.247 Å, b = 9.181 Å, c = 5.544 Å
α = 90.00°, β = 94.64°, γ = 90.00°
Space group C2/m (No. 12)
Unique sites:
Ta (0.238, 0.000, 0.463) (multiplicity 4)
Pd (0.000, 0.248, 0.000) (multiplicity 4)
Pd (0.000, 0.346, 0.500) (multiplicity 4)
Pd (0.152, 0.500, 0.947) (multiplicity 4)
Pt (0.021, 0.000, 0.754) (multiplicity 4)
Pt (0.245, 0.228, 0.750) (multiplicity 8)

Summary:
ΔH_f (0 K), meV/atom: -240
Electronic total energy, eV for the cell shown: -188.9